DFT (GGA-PBE) results for a relaxed structure of TbTh2InN5.

formation energy from raw total energies: -0.962 eV per atom
volume: 143.8 Å³/f.u.

Lattice parameters (Å, degrees): 3.597 7.259 11.371 90.00 90.00 104.35
Atoms (fractional coordinates):
Tb  0.780  0.560  0.488
Tb  0.220  0.440  0.988
Th  0.869  0.738  0.755
Th  0.125  0.250  0.698
Th  0.131  0.262  0.255
Th  0.875  0.750  0.198
In  0.509  0.018  0.979
In  0.491  0.982  0.479
N  0.369  0.737  0.063
N  0.712  0.424  0.843
N  0.488  0.976  0.788
N  0.289  0.579  0.648
N  0.939  0.878  0.561
N  0.631  0.263  0.563
N  0.288  0.576  0.343
N  0.512  0.024  0.288
N  0.711  0.421  0.148
N  0.061  0.122  0.061